A relaxed structure of Y3Ni5O12. Source: the Alexandria database, functional PBE+U.

Properties
E, eV/atom: -6.30
Magnetization, μB per formula unit: 10.998

abc: 12.3536 12.3536 12.3536
angles: 90.00 90.00 90.00
Space group Ia-3d (No. 230)
Unique sites:
Y  0.0000  0.2500  0.1250 [24 per cell]
Ni  0.0000  0.0000  0.0000 [16 per cell]
Ni  0.0000  0.2500  0.3750 [24 per cell]
O  0.0268  0.0563  0.6519 [96 per cell]